# Rb3Zr3VTe8 PBE relaxed
data_Rb3Zr3VTe8
_cell_length_a 8.246
_cell_length_b 8.248
_cell_length_c 10.089
_cell_angle_alpha 65.91
_cell_angle_beta 65.88
_cell_angle_gamma 60.03
_space_group_name_H-M_alt 'P -1'
_space_group_IT_number 2
_space_group_name_Hall '-P 1'
loop_
_atom_site_label
_atom_site_type_symbol
_atom_site_fract_x
_atom_site_fract_y
_atom_site_fract_z
_atom_site_occupancy
Rb1 Rb 0.000 0.000 0.000 1
Rb2 Rb 0.000 0.500 0.000 1
Rb3 Rb 0.500 0.000 0.000 1
Zr1 Zr 0.000 0.500 0.500 1
Zr2 Zr 0.500 0.000 0.500 1
Zr3 Zr 0.500 0.500 0.500 1
V1 V 0.000 0.000 0.500 1
Te1 Te 0.226 0.226 0.312 1
Te2 Te 0.226 0.736 0.311 1
Te3 Te 0.264 0.774 0.688 1
Te4 Te 0.268 0.268 0.695 1
# Raw formation energy (meV/atom): -866


# RbTeW3 PBE relaxed
data_RbTeW3
_cell_length_a 4.816
_cell_length_b 4.816
_cell_length_c 4.816
_cell_angle_alpha 90.00
_cell_angle_beta 90.00
_cell_angle_gamma 90.00
_space_group_name_H-M_alt 'P m -3 m'
_space_group_IT_number 221
_space_group_name_Hall '-P 4 2 3'
loop_
_atom_site_label
_atom_site_type_symbol
_atom_site_fract_x
_atom_site_fract_y
_atom_site_fract_z
_atom_site_occupancy
Rb1 Rb 0.000 0.000 0.000 1
Te1 Te 0.500 0.500 0.500 1
W1 W 0.000 0.000 0.500 1
# Raw formation energy (meV/atom): 3915


# RbTe3W PBE relaxed
data_RbTe3W
_cell_length_a 5.845
_cell_length_b 5.845
_cell_length_c 5.845
_cell_angle_alpha 90.00
_cell_angle_beta 90.00
_cell_angle_gamma 90.00
_space_group_name_H-M_alt 'P m -3 m'
_space_group_IT_number 221
_space_group_name_Hall '-P 4 2 3'
loop_
_atom_site_label
_atom_site_type_symbol
_atom_site_fract_x
_atom_site_fract_y
_atom_site_fract_z
_atom_site_occupancy
Rb1 Rb 0.000 0.000 0.000 1
Te1 Te 0.000 0.000 0.500 1
W1 W 0.500 0.500 0.500 1
# Raw formation energy (meV/atom): 2528


raw formation energy of number 1 (Rb3Zr3VTe8)? -866 meV/atom